Entry 1:
HoPu2Sc | PBE | relaxed

It has space group R-3m (No. 166, hexagonal axes), with a = 3.2785 Å, b = 3.2785 Å, c = 35.4170 Å, α = 90.00°, β = 90.00° and γ = 120.00°. The asymmetric unit holds Ho at (0.0000, 0.0000, 0.0000), Pu at (0.0000, 0.0000, 0.0887) and Sc at (0.0000, 0.0000, 0.5000).

As for the total energy: -38.278 eV per formula unit. The calculation puts the density of states at the Fermi level at 17.2 states/eV/f.u. The calculation puts the theoretical density at 10.55 Mg/m³.

Entry 2:
BCS | PBE | relaxed

It has space group Cmc2_1 (No. 36), with a = 3.158 Å, b = 14.226 Å, c = 4.131 Å, α = 90.00°, β = 90.00° and γ = 90.00°. The asymmetric unit holds B at (0.000, 0.050, 0.000), C at (0.000, 0.052, 0.367) and S at (0.000, 0.136, 0.659).

The calculation puts the energy relative to the elements, uncorrected at 46 kJ/mol of formula units. The calculation puts the density of states at the Fermi level at 0.3 states/eV/f.u. The calculation puts the theoretical density at 1.96 Mg/m³.